1.
A plane-wave DFT calculation with PBE was carried out for a relaxed Pu2PaSi crystal.

Computed properties:
E_form (uncorrected): -0.237 eV/atom
Space group: P4/mmm
V: 87 Å³/f.u.
N(E_F): 9.35 states/eV per cell
Offset from the most stable computed form: 3 meV per atom
M_tot: 10.47 Bohr magnetons per cell

Lattice parameters (Å, degrees): 4.400 4.400 4.473 90.00 90.00 90.00
Fractional coordinates of all 4 atoms:
Pu  0.000  0.500  0.000
Pu  0.500  0.000  0.000
Pa  0.000  0.000  0.500
Si  0.500  0.500  0.500


2.
A plane-wave DFT calculation with PBE was carried out for a relaxed BaEuPd crystal.

Computed properties:
Space group: P3m1
V: 122 Å³/f.u.
N(E_F): 14.81 states/eV per cell
Offset from the most stable computed form: 0 meV per atom
M_tot: 7.07 Bohr magnetons per cell
ΔH_f (0 K): -0.41 eV per atom

Lattice parameters (Å, degrees): 4.461 4.461 7.107 90.00 90.00 120.00
Fractional coordinates of all 3 atoms:
Ba  0.000  0.000  0.000
Eu  0.333  0.667  0.529
Pd  0.667  0.333  0.740


3.
A plane-wave DFT calculation with PBE was carried out for a relaxed CoAgBr2 crystal.

Computed properties:
E_form (uncorrected): 0.378 eV/atom
Space group: Fm-3m
V: 82 Å³/f.u.
N(E_F): 3.00 states/eV per cell
Offset from the most stable computed form: 382 meV per atom
M_tot: 2.05 Bohr magnetons per cell

Lattice parameters (Å, degrees): 4.886 4.886 4.886 60.00 60.00 60.00
Fractional coordinates of all 4 atoms:
Co  0.000  0.000  0.000
Ag  0.500  0.500  0.500
Br  0.250  0.250  0.250
Br  0.750  0.750  0.750


4.
A plane-wave DFT calculation with PBE was carried out for a relaxed ZrPPdO2 crystal.

Computed properties:
E_form (uncorrected): -0.416 eV/atom
Space group: P4/mmm
V: 73 Å³/f.u.
N(E_F): 0.88 states/eV per cell
Offset from the most stable computed form: 610 meV per atom
M_tot: 0.00 Bohr magnetons per cell

Lattice parameters (Å, degrees): 3.974 3.974 4.627 90.00 90.00 90.00
Fractional coordinates of all 5 atoms:
Zr  0.000  0.000  0.000
P  0.500  0.500  0.000
Pd  0.500  0.500  0.500
O  0.000  0.500  0.500
O  0.500  0.000  0.500


5.
A plane-wave DFT calculation with PBE was carried out for a relaxed YSbIr2 crystal.

Computed properties:
E_form (uncorrected): -0.452 eV/atom
Space group: P4/mmm
V: 75 Å³/f.u.
N(E_F): 2.09 states/eV per cell
M_tot: 0.00 Bohr magnetons per cell

Lattice parameters (Å, degrees): 4.394 4.394 3.888 90.00 90.00 90.00
Fractional coordinates of all 4 atoms:
Y  0.000  0.000  0.000
Sb  0.500  0.500  0.000
Ir  0.000  0.500  0.500
Ir  0.500  0.000  0.500


6.
A plane-wave DFT calculation with PBE was carried out for a relaxed Mg2AlAs crystal.

Computed properties:
Space group: Pmmm
V: 79 Å³/f.u.
N(E_F): 1.56 states/eV per cell
Offset from the most stable computed form: 8 meV per atom
M_tot: 0.00 Bohr magnetons per cell
ΔH_f (0 K): -0.11 eV per atom

Lattice parameters (Å, degrees): 3.934 4.277 4.690 90.00 90.00 90.00
Fractional coordinates of all 4 atoms:
Mg  0.000  0.000  0.000
Mg  0.000  0.500  0.500
Al  0.500  0.000  0.500
As  0.500  0.500  0.000


7.
A plane-wave DFT calculation with PBE was carried out for a relaxed ScMn2GaRh crystal.

Computed properties:
Space group: P4/mmm
V: 97 Å³/f.u.
N(E_F): 7.63 states/eV per cell
M_tot: 0.35 Bohr magnetons per cell
ΔH_f (0 K): 0.92 eV per atom

Lattice parameters (Å, degrees): 4.475 4.475 4.840 90.00 90.00 90.00
Fractional coordinates of all 5 atoms:
Sc  0.000  0.000  0.000
Mn  0.000  0.500  0.500
Mn  0.500  0.000  0.500
Ga  0.500  0.500  0.000
Rh  0.000  0.000  0.500


8.
A plane-wave DFT calculation with PBE was carried out for a relaxed Rb2CoTcBr6 crystal.

Computed properties:
E_form (uncorrected): -0.724 eV/atom
Space group: I4/mmm
V: 297 Å³/f.u.
N(E_F): 6.65 states/eV per cell
M_tot: 5.99 Bohr magnetons per cell

Lattice parameters (Å, degrees): 7.484 7.484 7.484 119.98 119.98 90.04
Fractional coordinates of all 10 atoms:
Rb  0.250  0.750  0.500
Rb  0.750  0.250  0.500
Co  0.000  0.000  0.000
Tc  0.500  0.500  0.000
Br  0.248  0.248  0.000
Br  0.248  0.248  0.495
Br  0.248  0.752  0.000
Br  0.752  0.248  0.000
Br  0.752  0.752  0.000
Br  0.752  0.752  0.505


9.
A plane-wave DFT calculation with PBE was carried out for a relaxed Ag2OsI crystal.

Computed properties:
E_form (uncorrected): 1.169 eV/atom
Space group: I-42d
V: 88 Å³/f.u.
N(E_F): 8.12 states/eV per cell
Offset from the most stable computed form: 0 meV per atom
M_tot: 2.83 Bohr magnetons per cell

Lattice parameters (Å, degrees): 6.313 6.313 6.313 100.60 100.60 129.22
Fractional coordinates of all 8 atoms:
Ag  0.091  0.625  0.966
Ag  0.375  0.341  0.466
Ag  0.659  0.125  0.034
Ag  0.875  0.909  0.534
Os  0.000  0.000  0.000
Os  0.750  0.250  0.500
I  0.250  0.750  0.500
I  0.500  0.500  0.000


10.
A plane-wave DFT calculation with PBE was carried out for a relaxed NdSmHo2Er crystal.

Computed properties:
Space group: Cmcm
V: 173 Å³/f.u.
N(E_F): 16.59 states/eV per cell
M_tot: 0.00 Bohr magnetons per cell
ΔH_f (0 K): 0.39 eV per atom

Lattice parameters (Å, degrees): 7.120 7.120 7.175 90.00 90.00 107.66
Fractional coordinates of all 10 atoms:
Nd  0.229  0.771  0.750
Nd  0.771  0.229  0.250
Sm  0.499  0.501  0.750
Sm  0.501  0.499  0.250
Ho  0.188  0.188  0.000
Ho  0.188  0.188  0.500
Ho  0.812  0.812  0.000
Ho  0.812  0.812  0.500
Er  0.221  0.779  0.250
Er  0.779  0.221  0.750


11.
A plane-wave DFT calculation with PBE was carried out for a relaxed SiRu2Cl crystal.

Computed properties:
E_form (uncorrected): 0.229 eV/atom
Space group: Cm
V: 59 Å³/f.u.
N(E_F): 3.35 states/eV per cell
Offset from the most stable computed form: 291 meV per atom
M_tot: 0.00 Bohr magnetons per cell

Lattice parameters (Å, degrees): 5.375 5.375 3.970 96.52 96.52 31.11
Fractional coordinates of all 4 atoms:
Si  0.000  0.000  0.000
Ru  0.306  0.306  0.806
Ru  0.562  0.562  0.539
Cl  0.763  0.763  0.318


12.
A plane-wave DFT calculation with PBE was carried out for a relaxed KLaSBr crystal.

Computed properties:
E_form (uncorrected): -1.653 eV/atom
Space group: R3m
V: 123 Å³/f.u.
N(E_F): 2.79 states/eV per cell
M_tot: 0.00 Bohr magnetons per cell

Lattice parameters (Å, degrees): 8.416 8.416 8.416 28.85 28.85 28.85
Fractional coordinates of all 4 atoms:
K  0.000  0.000  0.000
La  0.812  0.812  0.812
S  0.414  0.414  0.414
Br  0.231  0.231  0.231